i | Entry from Alexandria via LeMat-Bulk: crystalline LiVC2O6 at its relaxed geometry (GGA+U).

```
20
Lattice="4.7635 0.0000 0.0000 0.0000 6.2104 -0.0122 0.0000 2.2380 7.0591" Properties=species:S:1:pos:R:3 pbc="T T T"
Li 0.1363 3.2610 4.0210
O 1.9953 3.2947 3.3272
O 3.3063 4.6187 0.9618
O 0.9245 3.8298 6.0851
O 1.8094 1.6126 1.8366
Li 2.5180 5.1874 3.0258
O 1.4525 6.1529 4.5412
O 4.3771 5.1537 3.7196
V 2.4062 6.5629 6.2322
V 0.0245 1.8856 0.8146
C 2.4980 2.4193 2.5613
C 0.1163 6.0291 4.4856
O 4.1912 6.8359 5.2103
O 0.2468 6.0729 0.9426
O 3.8343 2.2955 2.5056
O 2.6286 2.3756 6.1042
C 4.5680 4.9019 0.8051
C 2.1862 3.5465 6.2418
O 0.6353 3.9172 0.5103
O 3.0170 4.5313 6.5365
```

Computed properties:
Symmetry = P2_1, No. 4

ii | Entry from Alexandria via LeMat-Bulk: crystalline LiVC2O6 at its relaxed geometry (GGA+U).

```
10
Lattice="5.7725 0.0017 0.0011 3.8634 4.2891 0.0011 3.8634 1.7203 3.9289" Properties=species:S:1:pos:R:3 pbc="T T T"
C 3.3078 1.4729 0.9633
O 7.1989 5.0176 2.0261
C 10.1914 4.5381 2.9678
Li 0.0000 0.0000 0.0000
O 6.3003 0.9934 1.9050
O 7.6909 2.7627 3.7847
O 8.5456 2.6552 1.0139
V 6.7496 3.0055 1.9656
O 5.8083 3.2483 0.1464
O 4.9536 3.3558 2.9172
```

Computed properties:
Symmetry = R-3, No. 148

iii | Entry from Alexandria via LeMat-Bulk: crystalline LiVC2O6 at its relaxed geometry (GGA+U).

```
10
Lattice="5.5776 -2.3368 -0.0050 5.5776 2.3368 -0.0050 4.6022 0.0000 3.9231" Properties=species:S:1:pos:R:3 pbc="T T T"
O 6.8957 0.7448 0.0246
O 6.1481 1.0462 3.0353
Li 7.8787 0.0000 1.9565
O 9.2985 -1.7910 2.1298
O 6.4590 -1.7910 1.7832
C 4.0209 0.0000 0.9985
C 11.7366 0.0000 2.9145
O 9.6094 1.0462 0.8777
O 8.8618 0.7448 3.8884
V 0.0000 0.0000 0.0000
```

Computed properties:
Symmetry = R32, No. 155

Pick the most stable structure from those above. Pick: ii